An optimized crystal structure of BaNaBiPt, computed with PBE-GGA.

Geometry as POSCAR:
```
BaNaBiPt
1.0
0.0000 3.8918 3.8918
3.8918 0.0000 3.8918
3.8918 3.8918 0.0000
Bi Pt Ba Na
1 1 1 1
direct
0.0000 0.0000 0.0000
0.5000 0.5000 0.5000
0.2500 0.2500 0.2500
0.7500 0.7500 0.7500
```

Summary:
Space-group type: No. 216
Density (g cm⁻³): 7.95
Excess energy over the best structure of this formula in the dataset (meV/atom): 202.8